Entry 1:
! ZnFeRe2 | Alexandria via LeMat-Bulk | GGA-PBE | optimized geometry; values from VASP
&SYSTEM
  ibrav = 0, nat = 4, ntyp = 3
/
ATOMIC_SPECIES
Zn 65.41 Zn.upf
Fe 55.84 Fe.upf
Re 186.21 Re.upf
CELL_PARAMETERS angstrom
0.0000 3.0140 3.0140
3.0140 0.0000 3.0140
3.0140 3.0140 0.0000
ATOMIC_POSITIONS crystal
Zn 0.0000 0.0000 0.0000
Fe 0.2500 0.2500 0.2500
Re 0.5000 0.5000 0.5000
Re 0.7500 0.7500 0.7500
! crystal system: cubic
! DOS(E_F): 2.57 states/eV/cell
! total moment: 0.007 Bohr magnetons per cell

Entry 2:
! ZnFeRe4 | Alexandria via LeMat-Bulk | GGA-PBE | optimized geometry; values from VASP
&SYSTEM
  ibrav = 0, nat = 6, ntyp = 3
/
ATOMIC_SPECIES
Zn 65.41 Zn.upf
Fe 55.84 Fe.upf
Re 186.21 Re.upf
CELL_PARAMETERS angstrom
0.0000 3.6463 3.6463
3.6463 0.0000 3.6463
3.6463 3.6463 0.0000
ATOMIC_POSITIONS crystal
Zn 0.0000 0.0000 0.0000
Fe 0.7500 0.7500 0.7500
Re 0.3751 0.3751 0.3751
Re 0.3751 0.3751 0.8748
Re 0.3751 0.8748 0.3751
Re 0.8748 0.3751 0.3751
! crystal system: cubic
! DOS(E_F): 5.01 states/eV/cell
! total moment: 3.134 Bohr magnetons per cell

Entry 3:
! ZnFe2Re | Alexandria via LeMat-Bulk | GGA-PBE | optimized geometry; values from VASP
&SYSTEM
  ibrav = 0, nat = 4, ntyp = 3
/
ATOMIC_SPECIES
Zn 65.41 Zn.upf
Fe 55.84 Fe.upf
Re 186.21 Re.upf
CELL_PARAMETERS angstrom
2.6583 0.0000 0.0000
0.0000 2.6583 0.0000
0.0000 0.0000 7.1974
ATOMIC_POSITIONS crystal
Zn 0.0000 0.0000 0.0000
Fe 0.5000 0.5000 0.2499
Fe 0.5000 0.5000 0.7501
Re 0.0000 0.0000 0.5000
! crystal system: tetragonal
! DOS(E_F): 2.90 states/eV/cell
! total moment: 2.782 Bohr magnetons per cell

Entry 4:
! ZnFeRe2 | Alexandria via LeMat-Bulk | GGA-PBE | optimized geometry; values from VASP
&SYSTEM
  ibrav = 0, nat = 4, ntyp = 3
/
ATOMIC_SPECIES
Zn 65.41 Zn.upf
Fe 55.84 Fe.upf
Re 186.21 Re.upf
CELL_PARAMETERS angstrom
2.6289 0.0000 0.0000
0.0000 4.2627 0.0000
-1.0439 0.0000 5.0113
ATOMIC_POSITIONS crystal
Zn 0.0000 0.0000 0.0000
Fe 0.8487 0.5000 0.2305
Re 0.3474 0.5000 0.7327
Re 0.5766 0.0000 0.4865
! crystal system: monoclinic
! DOS(E_F): 3.74 states/eV/cell
! total moment: 2.228 Bohr magnetons per cell

Entry 5:
! ZnFe2Re | Alexandria via LeMat-Bulk | GGA-PBE | optimized geometry; values from VASP
&SYSTEM
  ibrav = 0, nat = 4, ntyp = 3
/
ATOMIC_SPECIES
Zn 65.41 Zn.upf
Fe 55.84 Fe.upf
Re 186.21 Re.upf
CELL_PARAMETERS angstrom
2.7241 0.0000 0.0000
0.0000 2.7241 0.0000
0.0000 0.0000 7.0136
ATOMIC_POSITIONS crystal
Zn 0.0000 0.0000 0.0000
Fe 0.0000 0.0000 0.4771
Fe 0.5000 0.5000 0.2544
Re 0.5000 0.5000 0.7154
! crystal system: tetragonal
! DOS(E_F): 3.13 states/eV/cell
! total moment: 4.297 Bohr magnetons per cell

Entry 6:
! ZrFeRe2 | Alexandria via LeMat-Bulk | GGA-PBE | optimized geometry; values from VASP
&SYSTEM
  ibrav = 0, nat = 4, ntyp = 3
/
ATOMIC_SPECIES
Zr 91.22 Zr.upf
Fe 55.84 Fe.upf
Re 186.21 Re.upf
CELL_PARAMETERS angstrom
2.7495 0.0000 0.0000
0.0000 4.4037 0.0000
-1.0071 0.0000 5.2375
ATOMIC_POSITIONS crystal
Zr 0.0000 0.0000 0.0000
Fe 0.7311 0.5000 0.2470
Re 0.2500 0.5000 0.7096
Re 0.5097 0.0000 0.4991
! excess energy over the best structure of this formula in the dataset: 94.3 meV/atom
! crystal system: monoclinic
! DOS(E_F): 3.38 states/eV/cell
! total moment: 2.416 Bohr magnetons per cell

Number 1: total energy -8.4167 eV/atom. Number 2: total energy -9.3225 eV/atom. Number 3: total energy -7.5955 eV/atom. Number 4: total energy -8.4519 eV/atom. Number 5: total energy -7.5318 eV/atom. Number 6: total energy -10.4013 eV/atom.